PBE-GGA Sm3Ag4Pb4, optimized geometry; crystal system = orthorhombic; E = -3.990 eV per atom
1.0
-4.2100 -7.5926 -2.4434
-8.8370 -0.0844 -1.8007
8.3008 3.0084 -1.8403
Ag Pb Sm
4 4 3
direct
0.0260 0.8286 0.1974 Ag
0.3689 0.1714 0.1974 Ag
0.9740 0.1714 0.8026 Ag
0.6311 0.8286 0.8026 Ag
0.2987 0.0000 0.2987 Pb
0.7856 0.2856 0.5000 Pb
0.2144 0.7144 0.5000 Pb
0.7013 0.0000 0.7013 Pb
0.3713 0.3713 0.0000 Sm
0.6288 0.6288 0.0000 Sm
0.0000 0.5000 0.5000 Sm